Entry 1:
SrScSb2 | PBE | relaxed

Properties
Formation energy from raw total energies = -13.43 kcal/mol of atoms
Symmetry = P4/mmm (123)
Energy relative to the lowest polymorph listed for this composition = 0.2704 eV per atom
Crystal system = tetragonal

CIF file:
```
data_SrScSb2
_cell_length_a 5.259
_cell_length_b 5.259
_cell_length_c 4.094
_cell_angle_alpha 90.00
_cell_angle_beta 90.00
_cell_angle_gamma 90.00
_space_group_name_H-M_alt 'P 1'
_space_group_IT_number 1
_space_group_name_Hall 'P 1'
loop_
_atom_site_label
_atom_site_fract_x
_atom_site_fract_y
_atom_site_fract_z
Sr1 0.000 0.000 0.000
Sc1 0.500 0.500 0.000
Sb1 0.000 0.500 0.500
Sb2 0.500 0.000 0.500
```



Entry 2:
Sr3In3Pb8 | PBE | relaxed

Properties
Symmetry = Immm (71)
Energy relative to the elements = -0.24 eV per atom
Crystal system = orthorhombic

CIF file:
```
data_Sr3In3Pb8
_cell_length_a 9.651
_cell_length_b 9.651
_cell_length_c 9.651
_cell_angle_alpha 147.38
_cell_angle_beta 101.43
_cell_angle_gamma 87.68
_space_group_name_H-M_alt 'P 1'
_space_group_IT_number 1
_space_group_name_Hall 'P 1'
loop_
_atom_site_label
_atom_site_fract_x
_atom_site_fract_y
_atom_site_fract_z
Sr1 0.000 0.000 0.000
Sr2 0.292 0.292 0.000
Sr3 0.708 0.708 0.000
In1 0.346 0.500 0.846
In2 0.500 0.000 0.500
In3 0.654 0.500 0.154
Pb1 0.002 0.634 0.367
Pb2 0.141 0.858 0.282
Pb3 0.267 0.634 0.633
Pb4 0.424 0.142 0.282
Pb5 0.576 0.858 0.718
Pb6 0.733 0.366 0.367
Pb7 0.859 0.142 0.718
Pb8 0.998 0.366 0.633
```